(1)
K2RbNaGe | Alexandria via LeMat-Bulk | PBE | optimized geometry; energy of formation from the pure elements = 0.08 eV/atom; Fermi-level density of states = 0.795 states/eV/atom; E_tot = -1.7354 eV/atom; symmetry = P4/mmm (123); excess energy over the best structure of this formula in the dataset = 0 meV/atom
1.0
6.671 0.000 0.000
0.000 6.671 0.000
0.000 0.000 5.955
K Rb Na Ge
2 1 1 1
Direct
0.000 0.500 0.000
0.500 0.000 0.000
0.000 0.000 0.500
0.500 0.500 0.500
0.500 0.500 0.000


(2)
K2NaGeS4 | Alexandria via LeMat-Bulk | PBE | optimized geometry; Fermi-level density of states = 1.027 states/eV/atom; E_form (uncorrected) = -6.35 eV per formula unit; E_tot = -3.8733 eV/atom; symmetry = I-42m (121)
1.0
-3.857 3.857 3.593
3.857 -3.857 3.593
3.857 3.857 -3.593
K Na Ge S
2 1 1 4
Direct
0.000 0.500 0.500
0.500 0.000 0.500
0.000 0.000 0.000
0.500 0.500 0.000
0.146 0.146 0.676
0.470 0.470 0.324
0.530 0.854 0.000
0.854 0.530 0.000


(3)
KNa2GeSe4 | Alexandria via LeMat-Bulk | PBE | optimized geometry; Fermi-level density of states = 1.285 states/eV/atom; E_form (uncorrected) = -5.88 eV per formula unit; E_tot = -3.5217 eV/atom; symmetry = I-42m (121)
1.0
-3.815 3.815 4.189
3.815 -3.815 4.189
3.815 3.815 -4.189
K Na Ge Se
1 2 1 4
Direct
0.000 0.000 0.000
0.250 0.750 0.500
0.750 0.250 0.500
0.500 0.500 0.000
0.160 0.160 0.632
0.472 0.840 0.000
0.528 0.528 0.368
0.840 0.472 0.000


(4)
KNaSiGe2 | Alexandria via LeMat-Bulk | PBE | optimized geometry; Fermi-level density of states = 0.455 states/eV/atom; E_form (uncorrected) = 1.91 eV per formula unit; E_tot = -3.0329 eV/atom; symmetry = P4/mmm (123)
1.0
4.967 0.000 0.000
0.000 4.967 0.000
0.000 0.000 5.940
K Na Si Ge
1 1 1 2
Direct
0.000 0.000 0.000
0.500 0.500 0.000
0.000 0.000 0.500
0.000 0.500 0.500
0.500 0.000 0.500


(5)
KNaSrGe | Alexandria via LeMat-Bulk | PBE | optimized geometry; energy of formation from the pure elements = -0.12 eV/atom; Fermi-level density of states = 0.065 states/eV/atom; E_tot = -2.3017 eV/atom; symmetry = F-43m (216)
1.0
0.000 3.934 3.934
3.934 0.000 3.934
3.934 3.934 0.000
K Na Sr Ge
1 1 1 1
Direct
0.000 0.000 0.000
0.250 0.250 0.250
0.750 0.750 0.750
0.500 0.500 0.500


(6)
KNaGeTe2 | Alexandria via LeMat-Bulk | PBE | optimized geometry; Fermi-level density of states = 0.454 states/eV/atom; E_form (uncorrected) = -1.93 eV per formula unit; E_tot = -3.0496 eV/atom; symmetry = Cmme (67)
1.0
3.055 -7.795 0.000
3.055 7.795 0.000
0.000 0.000 7.062
K Na Ge Te
2 2 2 4
Direct
0.250 0.750 0.766
0.750 0.250 0.234
0.250 0.250 0.500
0.750 0.750 0.500
0.000 0.000 0.000
0.500 0.500 0.000
0.137 0.863 0.255
0.363 0.637 0.255
0.637 0.363 0.745
0.863 0.137 0.745


(7)
KNa2GeTe4 | Alexandria via LeMat-Bulk | PBE | optimized geometry; Fermi-level density of states = 0.299 states/eV/atom; E_form (uncorrected) = -3.61 eV per formula unit; E_tot = -3.0662 eV/atom; symmetry = Imma (74)
1.0
-3.772 5.460 6.500
3.772 -5.460 6.500
3.772 5.460 -6.500
K Na Ge Te
2 4 2 8
Direct
0.000 0.000 0.000
0.500 0.000 0.500
0.000 0.500 0.500
0.500 0.000 0.000
0.500 0.500 0.000
0.500 0.500 0.500
0.000 0.000 0.500
0.000 0.500 0.000
0.190 0.745 0.444
0.199 0.255 0.944
0.257 0.312 0.556
0.257 0.701 0.944
0.743 0.299 0.056
0.743 0.688 0.444
0.801 0.745 0.056
0.810 0.255 0.556


(8)
KNaTl2Ge | Alexandria via LeMat-Bulk | PBE | optimized geometry; energy of formation from the pure elements = 0.05 eV/atom; Fermi-level density of states = 0.384 states/eV/atom; E_tot = -2.3059 eV/atom; symmetry = P4/mmm (123)
1.0
5.671 0.000 0.000
0.000 5.671 0.000
0.000 0.000 5.626
K Na Tl Ge
1 1 2 1
Direct
0.000 0.000 0.000
0.500 0.500 0.000
0.000 0.500 0.500
0.500 0.000 0.500
0.500 0.500 0.500